Entry 1:
An optimized crystal structure of SrCaRh. Source: Alexandria via LeMat-Bulk, functional PBE.

The formation energy comes out at -229 meV per atom. As for the space-group type: P2_1/m, No. 11. For the total magnetic moment, the calculation gives 0.0 μB/cell.

Geometry as extended XYZ:
```
6
Lattice="4.592 -0.001 0.000 0.001 6.138 -0.304 0.000 2.281 6.834" Properties=species:S:1:pos:R:3 pbc="T T T"
Sr 4.361 1.227 0.668
Sr 2.065 1.731 4.914
Ca 2.066 4.217 1.213
Ca 4.362 4.880 4.064
Rh 2.066 4.853 5.714
Rh 4.362 6.525 6.398
```

---

Entry 2:
An optimized crystal structure of Sr2CaRh. Source: Alexandria via LeMat-Bulk, functional PBE.

The formation energy comes out at -107 meV per atom. As for the space-group type: Immm, No. 71. For the total magnetic moment, the calculation gives 0.0 μB/cell.

Geometry as extended XYZ:
```
4
Lattice="-3.501 -1.253 -7.880 -1.559 -4.323 -7.403 -4.134 -2.503 0.721" Properties=species:S:1:pos:R:3 pbc="T T T"
Sr -4.973 -5.283 -13.758
Sr -4.685 -4.332 -8.807
Ca -6.896 -6.059 -10.922
Rh -2.299 -2.020 -3.641
```

---

Entry 3:
An optimized crystal structure of SrCa6Rh. Source: Alexandria via LeMat-Bulk, functional PBE.

The formation energy comes out at -159 meV per atom. As for the space-group type: C2/c, No. 15. For the total magnetic moment, the calculation gives 0.0 μB/cell.

Geometry as extended XYZ:
```
16
Lattice="6.885 0.000 0.000 -3.442 6.748 -1.444 0.000 0.091 13.563" Properties=species:S:1:pos:R:3 pbc="T T T"
Sr 2.879 0.023 3.391
Sr 4.006 0.069 10.172
Ca 6.275 1.059 5.154
Ca 0.610 1.104 11.936
Ca -0.554 2.945 8.549
Ca 0.554 2.900 1.768
Ca -2.832 5.781 6.964
Ca 2.832 5.735 0.183
Ca 2.885 2.055 6.848
Ca 4.000 2.009 0.067
Ca 3.997 3.894 3.569
Ca 2.888 3.940 10.350
Ca 0.558 4.785 5.270
Ca -0.558 4.830 12.051
Rh -1.721 3.420 6.059
Rh 1.721 3.374 -0.722
```

---

Entry 4:
An optimized crystal structure of SrCa8Rh2. Source: Alexandria via LeMat-Bulk, functional PBE.

The formation energy comes out at -154 meV per atom. As for the space-group type: C2/m, No. 12. For the total magnetic moment, the calculation gives 0.0 μB/cell.

Geometry as extended XYZ:
```
11
Lattice="-4.288 4.813 -0.752 -5.303 -4.849 -0.800 0.734 3.153 8.691" Properties=species:S:1:pos:R:3 pbc="T T T"
Sr 0.000 0.000 0.000
Ca -7.109 -0.550 1.334
Ca -4.417 1.225 5.403
Ca -7.575 2.295 3.627
Ca -1.281 0.822 3.513
Ca -4.439 1.891 1.737
Ca -1.747 3.667 5.806
Ca -3.674 -1.508 0.818
Ca -5.182 4.624 6.322
Rh -4.918 -0.532 3.150
Rh -3.938 3.648 3.989
```

---

Entry 5:
An optimized crystal structure of SrCa3Rh8. Source: Alexandria via LeMat-Bulk, functional PBE.

The formation energy comes out at -380 meV per atom. As for the space-group type: R3m, No. 160. For the total magnetic moment, the calculation gives 0.0 μB/cell.

Geometry as extended XYZ:
```
12
Lattice="-4.915 -1.052 -1.928 -0.907 -4.559 -2.716 -4.024 -5.943 5.983" Properties=species:S:1:pos:R:3 pbc="T T T"
Sr -6.604 -7.139 -1.818
Ca -5.703 -7.302 3.491
Ca -4.020 -5.936 5.971
Ca -4.928 -5.786 0.687
Rh -5.759 -4.075 -1.907
Rh -5.764 -8.838 0.754
Rh -3.287 -3.546 -0.937
Rh -8.240 -9.368 -0.218
Rh -2.853 -3.654 1.751
Rh -7.775 -9.427 2.414
Rh -3.744 -5.839 -2.303
Rh -7.783 -7.071 1.151
```

---

Entry 6:
An optimized crystal structure of Sr2CaRh2. Source: Alexandria via LeMat-Bulk, functional PBE.

The formation energy comes out at -16 meV per atom. As for the space-group type: P4/mbm, No. 127. For the total magnetic moment, the calculation gives 0.0 μB/cell.

Geometry as extended XYZ:
```
10
Lattice="-8.547 1.322 1.287 0.972 -1.956 8.467 0.605 3.248 0.681" Properties=species:S:1:pos:R:3 pbc="T T T"
Sr -2.308 -1.211 7.831
Sr -6.813 -0.085 6.462
Sr -5.267 0.578 1.923
Sr -0.763 -0.548 3.292
Ca 0.000 0.000 0.000
Ca -3.788 -0.317 4.877
Rh -0.520 0.537 6.258
Rh -4.643 0.896 8.211
Rh -6.451 2.078 4.176
Rh -2.327 1.719 2.224
```

---

Entry 7:
An optimized crystal structure of Sr4CaRh. Source: Alexandria via LeMat-Bulk, functional PBE.

The formation energy comes out at 77 meV per atom. As for the space-group type: P4/mmm, No. 123. For the total magnetic moment, the calculation gives 0.0 μB/cell.

Geometry as extended XYZ:
```
6
Lattice="-1.899 -4.564 -1.879 2.573 0.803 -4.550 7.891 -4.774 3.620" Properties=species:S:1:pos:R:3 pbc="T T T"
Sr 4.150 -3.008 -4.331
Sr 3.813 -1.127 -1.116
Sr 4.751 -7.408 -1.694
Sr 4.414 -5.527 1.521
Ca 0.000 0.000 0.000
Rh 4.282 -4.268 -1.405
```

---

Entry 8:
An optimized crystal structure of Sr2Ca4Rh. Source: Alexandria via LeMat-Bulk, functional PBE.

The formation energy comes out at -70 meV per atom. As for the space-group type: I4/mmm, No. 139. For the total magnetic moment, the calculation gives 0.0 μB/cell.

Geometry as extended XYZ:
```
7
Lattice="5.570 0.000 0.000 0.000 5.570 0.000 2.785 2.785 9.725" Properties=species:S:1:pos:R:3 pbc="T T T"
Sr 5.570 5.570 6.540
Sr 2.785 2.785 3.185
Ca 5.570 5.570 2.711
Ca 2.785 2.785 7.014
Ca 0.000 2.785 0.000
Ca 2.785 0.000 0.000
Rh 0.000 0.000 0.000
```